A plane-wave DFT calculation with PBE+U was carried out for crystalline VBiIrO6 at its relaxed geometry.

Energy ... -6.751 eV/atom
D(E_F) ... 0.39 states/eV/atom

Cell lengths 4.767, 4.767, 9.750 Å; angles 90.00, 90.00, 90.00 degrees
Atoms (fractional coordinates):
V 0.000 0.000 0.000
V 0.500 0.500 0.500
Bi 0.000 0.000 0.669
Bi 0.500 0.500 0.169
Ir 0.000 0.000 0.335
Ir 0.500 0.500 0.835
O 0.174 0.174 0.168
O 0.202 0.202 0.486
O 0.207 0.207 0.848
O 0.293 0.707 0.348
O 0.298 0.702 0.986
O 0.326 0.674 0.668
O 0.674 0.326 0.668
O 0.702 0.298 0.986
O 0.707 0.293 0.348
O 0.793 0.793 0.848
O 0.798 0.798 0.486
O 0.826 0.826 0.168